# Ba2CuSbS6

A geometry-optimized Ba2CuSbS6 structure (PBE, OQMD).

Values from the calculation:
**Symmetry**: Fm-3m (225)
**Calculated total energy**: -44.1 eV for the cell shown

Cell: 6.9537 6.9537 6.9537 Å, 60.00 60.00 60.00°
Sites, in units of the cell vectors:
1 Ba 0.2500 0.2500 0.2500
2 Ba 0.7500 0.7500 0.7500
3 Cu 0.0000 0.0000 0.0000
4 Sb 0.5000 0.5000 0.5000
5 S 0.2426 0.2426 0.7574
6 S 0.2426 0.7574 0.2426
7 S 0.2426 0.7574 0.7574
8 S 0.7574 0.2426 0.2426
9 S 0.7574 0.2426 0.7574
10 S 0.7574 0.7574 0.2426

=====

# NaNbSO

A geometry-optimized NaNbSO structure (PBE, OQMD).

Values from the calculation:
**Symmetry**: P-6m2 (187)
**Calculated total energy**: -53.3 eV for the cell shown

Cell: 3.1615 3.1615 13.3328 Å, 90.00 90.00 120.00°
Sites, in units of the cell vectors:
1 Na 0.0000 0.0000 0.2222
2 Na 0.0000 0.0000 0.7778
3 Nb 0.0000 0.0000 0.0000
4 Nb 0.0000 0.0000 0.5000
5 S 0.3333 0.6667 0.3764
6 S 0.3333 0.6667 0.6236
7 O 0.6667 0.3333 0.0970
8 O 0.6667 0.3333 0.9030

=====

# NbReNiBi

A geometry-optimized NbReNiBi structure (PBE, OQMD).

Values from the calculation:
**Symmetry**: F-43m (216)
**Calculated total energy**: -118.6 eV for the cell shown

Cell: 6.5065 6.5065 6.5065 Å, 90.00 90.00 90.00°
Sites, in units of the cell vectors:
1 Nb 0.0000 0.0000 0.0000
2 Nb 0.0000 0.5000 0.5000
3 Nb 0.5000 0.0000 0.5000
4 Nb 0.5000 0.5000 0.0000
5 Re 0.2500 0.2500 0.7500
6 Re 0.2500 0.7500 0.2500
7 Re 0.7500 0.2500 0.2500
8 Re 0.7500 0.7500 0.7500
9 Ni 0.0000 0.0000 0.5000
10 Ni 0.0000 0.5000 0.0000
11 Ni 0.5000 0.0000 0.0000
12 Ni 0.5000 0.5000 0.5000
13 Bi 0.2500 0.2500 0.2500
14 Bi 0.2500 0.7500 0.7500
15 Bi 0.7500 0.2500 0.7500
16 Bi 0.7500 0.7500 0.2500

=====

# LiReO3

A geometry-optimized LiReO3 structure (PBE, OQMD).

Values from the calculation:
**Symmetry**: R-3 (148)
**Calculated total energy**: -74.1 eV for the cell shown

Cell: 5.6833 5.6833 5.6833 Å, 49.99 49.99 49.99°
Sites, in units of the cell vectors:
1 Li 0.1520 0.1520 0.1520
2 Li 0.8480 0.8480 0.8480
3 Re 0.3390 0.3390 0.3390
4 Re 0.6610 0.6610 0.6610
5 O 0.0716 0.4180 0.7487
6 O 0.2513 0.9284 0.5820
7 O 0.4180 0.7487 0.0716
8 O 0.5820 0.2513 0.9284
9 O 0.7487 0.0716 0.4180
10 O 0.9284 0.5820 0.2513

=====

# HoTmGeCl2

A geometry-optimized HoTmGeCl2 structure (PBE, OQMD).

Values from the calculation:
**Symmetry**: P3m1 (156)
**Calculated total energy**: -25.4 eV for the cell shown

Cell: 4.0387 4.0387 9.5505 Å, 90.00 90.00 120.00°
Sites, in units of the cell vectors:
1 Ho 0.0000 0.0000 0.0000
2 Tm 0.3333 0.6667 0.6663
3 Ge 0.6667 0.3333 0.8316
4 Cl 0.0000 0.0000 0.5045
5 Cl 0.3333 0.6667 0.1638

=====

# BiW4C2S

A geometry-optimized BiW4C2S structure (PBE, OQMD).

Values from the calculation:
**Symmetry**: P-6m2 (187)
**Calculated total energy**: -75.6 eV for the cell shown

Cell: 3.2112 3.2112 13.2673 Å, 90.00 90.00 120.00°
Sites, in units of the cell vectors:
1 Bi 0.0000 0.0000 0.0000
2 W 0.0000 0.0000 0.3615
3 W 0.0000 0.0000 0.6385
4 W 0.3333 0.6667 0.1988
5 W 0.3333 0.6667 0.8012
6 C 0.6667 0.3333 0.2740
7 C 0.6667 0.3333 0.7260
8 S 0.3333 0.6667 0.5000

=====

# LuInFeNi

A geometry-optimized LuInFeNi structure (PBE, OQMD).

Values from the calculation:
**Symmetry**: F-43m (216)
**Calculated total energy**: -82.4 eV for the cell shown

Cell: 6.5612 6.5612 6.5612 Å, 90.00 90.00 90.00°
Sites, in units of the cell vectors:
1 Lu 0.0000 0.0000 0.0000
2 Lu 0.0000 0.5000 0.5000
3 Lu 0.5000 0.0000 0.5000
4 Lu 0.5000 0.5000 0.0000
5 In 0.2500 0.2500 0.2500
6 In 0.2500 0.7500 0.7500
7 In 0.7500 0.2500 0.7500
8 In 0.7500 0.7500 0.2500
9 Fe 0.2500 0.2500 0.7500
10 Fe 0.2500 0.7500 0.2500
11 Fe 0.7500 0.2500 0.2500
12 Fe 0.7500 0.7500 0.7500
13 Ni 0.0000 0.0000 0.5000
14 Ni 0.0000 0.5000 0.0000
15 Ni 0.5000 0.0000 0.0000
16 Ni 0.5000 0.5000 0.5000

=====

# AgHgSeO

A geometry-optimized AgHgSeO structure (PBE, OQMD).

Values from the calculation:
**Symmetry**: P4/nmm (129)
**Calculated total energy**: -21.9 eV for the cell shown

Cell: 3.8183 3.8183 10.6162 Å, 90.00 90.00 90.00°
Sites, in units of the cell vectors:
1 Ag 0.2500 0.2500 0.2043
2 Ag 0.7500 0.7500 0.7957
3 Hg 0.2500 0.2500 0.6173
4 Hg 0.7500 0.7500 0.3827
5 Se 0.2500 0.7500 0.0000
6 Se 0.7500 0.2500 0.0000
7 O 0.2500 0.2500 0.4045
8 O 0.7500 0.7500 0.5955

=====

# CsNiWAu

A geometry-optimized CsNiWAu structure (PBE, OQMD).

Values from the calculation:
**Symmetry**: F-43m (216)
**Calculated total energy**: -63.8 eV for the cell shown

Cell: 6.7159 6.7159 6.7159 Å, 90.00 90.00 90.00°
Sites, in units of the cell vectors:
1 Cs 0.0000 0.0000 0.0000
2 Cs 0.0000 0.5000 0.5000
3 Cs 0.5000 0.0000 0.5000
4 Cs 0.5000 0.5000 0.0000
5 Ni 0.2500 0.2500 0.7500
6 Ni 0.2500 0.7500 0.2500
7 Ni 0.7500 0.2500 0.2500
8 Ni 0.7500 0.7500 0.7500
9 W 0.2500 0.2500 0.2500
10 W 0.2500 0.7500 0.7500
11 W 0.7500 0.2500 0.7500
12 W 0.7500 0.7500 0.2500
13 Au 0.0000 0.0000 0.5000
14 Au 0.0000 0.5000 0.0000
15 Au 0.5000 0.0000 0.0000
16 Au 0.5000 0.5000 0.5000

=====

# ZnFeTcAg

A geometry-optimized ZnFeTcAg structure (PBE, OQMD).

Values from the calculation:
**Energy of formation**: 0.455 eV per atom
**Symmetry**: F-43m (216)

Cell: 6.1675 6.1675 6.1675 Å, 90.00 90.00 90.00°
Sites, in units of the cell vectors:
1 Zn 0.0000 0.0000 0.0000
2 Zn 0.0000 0.5000 0.5000
3 Zn 0.5000 0.0000 0.5000
4 Zn 0.5000 0.5000 0.0000
5 Fe 0.2500 0.2500 0.2500
6 Fe 0.2500 0.7500 0.7500
7 Fe 0.7500 0.2500 0.7500
8 Fe 0.7500 0.7500 0.2500
9 Tc 0.0000 0.0000 0.5000
10 Tc 0.0000 0.5000 0.0000
11 Tc 0.5000 0.0000 0.0000
12 Tc 0.5000 0.5000 0.5000
13 Ag 0.2500 0.2500 0.7500
14 Ag 0.2500 0.7500 0.2500
15 Ag 0.7500 0.2500 0.2500
16 Ag 0.7500 0.7500 0.7500

=====

# NdAgHg2

A geometry-optimized NdAgHg2 structure (PBE, OQMD).

Values from the calculation:
**Energy of formation**: -0.370 eV per atom
**Symmetry**: Fm-3m (225)

Cell: 7.2375 7.2375 7.2375 Å, 90.00 90.00 90.00°
Sites, in units of the cell vectors:
1 Nd 0.0000 0.0000 0.0000
2 Nd 0.0000 0.5000 0.5000
3 Nd 0.5000 0.0000 0.5000
4 Nd 0.5000 0.5000 0.0000
5 Ag 0.0000 0.0000 0.5000
6 Ag 0.0000 0.5000 0.0000
7 Ag 0.5000 0.0000 0.0000
8 Ag 0.5000 0.5000 0.5000
9 Hg 0.2500 0.2500 0.2500
10 Hg 0.2500 0.2500 0.7500
11 Hg 0.2500 0.7500 0.2500
12 Hg 0.2500 0.7500 0.7500
13 Hg 0.7500 0.2500 0.2500
14 Hg 0.7500 0.2500 0.7500
15 Hg 0.7500 0.7500 0.2500
16 Hg 0.7500 0.7500 0.7500

=====

# AlZn

A geometry-optimized AlZn structure (PBE, OQMD).

Values from the calculation:
**Symmetry**: Pbcm (57)
**Calculated total energy**: -19.5 eV for the cell shown

Cell: 5.5931 4.8197 4.7088 Å, 90.00 90.00 90.00°
Sites, in units of the cell vectors:
1 Al 0.1271 0.0798 0.2500
2 Al 0.1271 0.4202 0.7500
3 Al 0.8729 0.5798 0.2500
4 Al 0.8729 0.9202 0.7500
5 Zn 0.3765 0.5840 0.2500
6 Zn 0.3765 0.9160 0.7500
7 Zn 0.6235 0.0840 0.2500
8 Zn 0.6235 0.4160 0.7500

=====

| no. | V (A^3/atom) |
| --- | --- |
| 1 | 23.8 |
| 2 | 14.4 |
| 3 | 17.2 |
| 4 | 9.9 |
| 5 | 27.0 |
| 6 | 14.8 |
| 7 | 17.7 |
| 8 | 19.3 |
| 9 | 18.9 |
| 10 | 14.7 |
| 11 | 23.7 |
| 12 | 15.9 |